No. 1
DFT (PBE) results for a relaxed structure of MnNbNi.

The density of states at the Fermi level is 20.56 states/eV per cell. The calculation puts the energy above the most stable polymorph in this dataset at 531 meV per atom. As for the formation energy: 0.3782 eV per atom. The calculation puts the energy at -7.962 eV/atom.

It has space group R-3m (No. 166, hexagonal axes), with a = 3.9281 Å, b = 3.9281 Å, c = 20.7837 Å, α = 90.00°, β = 90.00° and γ = 120.00°. Symmetry generates all atoms from Mn at (0.0000, 0.0000, 0.1790), Nb at (0.0000, 0.0000, 0.0665) and Ni at (0.0000, 0.0000, 0.3141).


No. 2
DFT (PBE) results for a relaxed structure of SeF.

The density of states at the Fermi level is 12.93 states/eV per cell. The calculation puts the energy above the most stable polymorph in this dataset at 1330 meV per atom. The formation energy from raw total energies is 0.27 eV per atom. The calculation puts the energy at -2.413 eV/atom.

It has space group Pm-3n (No. 223), with a = 6.896 Å, b = 6.896 Å, c = 6.896 Å, α = 90.00°, β = 90.00° and γ = 90.00°. Symmetry generates all atoms from Se at (0.000, 0.250, 0.500) and F at (0.000, 0.500, 0.250).


No. 3
DFT (PBE) results for a relaxed structure of SmTh2Te5.

The density of states at the Fermi level is 4.09 states/eV per cell. The calculation puts the energy above the most stable polymorph in this dataset at 0 meV per atom. The formation energy from raw total energies is -1.20 eV per atom. The calculation puts the energy at -5.609 eV/atom.

It has space group Pbam (No. 55), with a = 8.907 Å, b = 13.791 Å, c = 4.280 Å, α = 90.00°, β = 90.00° and γ = 90.00°. Symmetry generates all atoms from Sm at (0.000, 0.000, 0.000), Th at (0.019, 0.321, 0.500), Te at (0.000, 0.500, 0.000), Te at (0.174, 0.111, 0.500) and Te at (0.188, 0.807, 0.000).


No. 4
DFT (PBE) results for a relaxed structure of SrHoTlPb.

The density of states at the Fermi level is 7.88 states/eV per cell. As for the formation energy: -0.3570 eV per atom. The calculation puts the energy at -3.441 eV/atom.

It has space group F-43m (No. 216), with a = 7.904 Å, b = 7.904 Å, c = 7.904 Å, α = 90.00°, β = 90.00° and γ = 90.00°. Symmetry generates all atoms from Sr at (0.000, 0.000, 0.000), Ho at (0.000, 0.000, 0.500), Tl at (0.250, 0.250, 0.750) and Pb at (0.250, 0.250, 0.250).


No. 5
DFT (PBE) results for a relaxed structure of Mg2MnIrBr.

The density of states at the Fermi level is 3.54 states/eV per cell. The formation energy from raw total energies is 0.96 eV per atom. The calculation puts the energy at -3.619 eV/atom.

It has space group P4/mmm (No. 123), with a = 4.859 Å, b = 4.859 Å, c = 4.833 Å, α = 90.00°, β = 90.00° and γ = 90.00°. Symmetry generates all atoms from Mg at (0.000, 0.500, 0.000), Mn at (0.000, 0.000, 0.500), Ir at (0.500, 0.500, 0.500) and Br at (0.500, 0.500, 0.000).


No. 6
DFT (PBE) results for a relaxed structure of Ho3ZrIr4.

The density of states at the Fermi level is 2.63 states/eV per cell. As for the formation energy: -0.8380 eV per atom. The calculation puts the energy at -8.054 eV/atom.

It has space group Pmmm (No. 47), with a = 3.249 Å, b = 4.884 Å, c = 9.801 Å, α = 90.00°, β = 90.00° and γ = 90.00°. Symmetry generates all atoms from Ho at (0.000, 0.000, 0.000), Ho at (0.000, 0.500, 0.250), Zr at (0.000, 0.000, 0.500), Ir at (0.500, 0.000, 0.267), Ir at (0.500, 0.500, 0.000) and Ir at (0.500, 0.500, 0.500).


No. 7
DFT (PBE) results for a relaxed structure of Nd4GeAsI2.

The density of states at the Fermi level is 3.03 states/eV per cell. The formation energy from raw total energies is -1.17 eV per atom. The calculation puts the energy at -5.102 eV/atom.

It has space group P2/m (No. 10), with a = 7.508 Å, b = 4.345 Å, c = 8.096 Å, α = 90.00°, β = 108.01° and γ = 90.00°. Symmetry generates all atoms from Nd at (0.231, 0.000, 0.197), Nd at (0.267, 0.500, 0.804), Ge at (0.000, 0.500, 0.000), As at (0.500, 0.000, 0.000), I at (0.000, 0.000, 0.500) and I at (0.500, 0.500, 0.500).


No. 8
DFT (PBE) results for a relaxed structure of PaCuPb2S5.

The formation energy from raw total energies is -0.90 eV per atom. The calculation puts the energy at -5.528 eV/atom.

It has space group Cmc2_1 (No. 36), with a = 4.014 Å, b = 17.254 Å, c = 12.766 Å, α = 90.00°, β = 90.00° and γ = 90.00°. Symmetry generates all atoms from Pa at (0.000, 0.203, 0.000), Cu at (0.000, 0.430, 0.409), Pb at (0.000, 0.079, 0.639), Pb at (0.000, 0.119, 0.308), S at (0.000, 0.052, 0.003), S at (0.000, 0.286, 0.637), S at (0.000, 0.300, 0.362), S at (0.000, 0.357, 0.978) and S at (0.000, 0.498, 0.757).


No. 9
DFT (PBE) results for a relaxed structure of Tc2Sn2Te.

The density of states at the Fermi level is 13.21 states/eV per cell. The calculation puts the energy above the most stable polymorph in this dataset at 0 meV per atom. The formation energy from raw total energies is 0.24 eV per atom. The calculation puts the energy at -6.134 eV/atom.

It has space group P4/mbm (No. 127), with a = 7.702 Å, b = 7.702 Å, c = 3.314 Å, α = 90.00°, β = 90.00° and γ = 90.00°. Symmetry generates all atoms from Tc at (0.153, 0.347, 0.000), Sn at (0.142, 0.642, 0.500) and Te at (0.000, 0.000, 0.000).


No. 10
DFT (PBE) results for a relaxed structure of Pm9Dy2Tl.

The density of states at the Fermi level is 15.97 states/eV per cell. As for the formation energy: -0.0463 eV per atom. The calculation puts the energy at -4.574 eV/atom.

It has space group P4/mmm (No. 123), with a = 5.038 Å, b = 5.038 Å, c = 15.453 Å, α = 90.00°, β = 90.00° and γ = 90.00°. Symmetry generates all atoms from Pm at (0.000, 0.000, 0.000), Pm at (0.000, 0.000, 0.330), Pm at (0.000, 0.500, 0.162), Pm at (0.000, 0.500, 0.500), Dy at (0.500, 0.500, 0.332) and Tl at (0.500, 0.500, 0.000).


No. 11
DFT (PBE) results for a relaxed structure of TaZn2Si.

The density of states at the Fermi level is 3.48 states/eV per cell. The formation energy from raw total energies is -0.05 eV per atom. The calculation puts the energy at -5.003 eV/atom.

It has space group I-4m2 (No. 119), with a = 3.770 Å, b = 3.770 Å, c = 8.465 Å, α = 90.00°, β = 90.00° and γ = 90.00°. Symmetry generates all atoms from Ta at (0.000, 0.000, 0.000), Zn at (0.000, 0.000, 0.500), Zn at (0.000, 0.500, 0.750) and Si at (0.000, 0.500, 0.250).


No. 12
DFT (PBE) results for a relaxed structure of CdPd6Pt5.

The density of states at the Fermi level is 46.69 states/eV per cell. As for the formation energy: -0.0949 eV per atom. The calculation puts the energy at -5.285 eV/atom.

It has space group C2/m (No. 12), with a = 4.009 Å, b = 11.935 Å, c = 7.899 Å, α = 90.00°, β = 90.09° and γ = 90.00°. Symmetry generates all atoms from Cd at (0.000, 0.000, 0.000), Pd at (0.000, 0.168, 0.252), Pd at (0.000, 0.500, 0.250), Pt at (0.000, 0.000, 0.500), Pt at (0.000, 0.331, 0.000) and Pt at (0.000, 0.336, 0.500).